Record 1
The following is a PBE calculation of a geometry-optimized BaCu2AsO structure, from Alexandria via LeMat-Bulk.

Cell and atoms, written as CIF:
```
data_BaCu2AsO
_chemical_formula_sum 'Ba4 Cu8 As4 O4'
_space_group_name_H-M_alt 'C m c m'
_space_group_IT_number 63
_space_group_name_Hall '-C 2c 2'
_cell_length_a 4.017
_cell_length_b 12.147
_cell_length_c 7.096
_cell_angle_alpha 90.00
_cell_angle_beta 90.00
_cell_angle_gamma 90.00
loop_
_atom_site_label
_atom_site_fract_x
_atom_site_fract_y
_atom_site_fract_z
Ba1 0.000 0.044 0.250
Cu1 0.000 0.331 0.064
As1 0.000 0.231 0.750
O1 0.000 0.500 0.000
```

Values from the calculation:
Formation energy from raw total energies (kcal/mol of atoms): -21.8
Volume (Å³/cell): 346.25

***

Record 2
The following is a PBE calculation of a geometry-optimized BaCu4As3O12 structure, from Alexandria via LeMat-Bulk.

Cell and atoms, written as CIF:
```
data_BaCu4As3O12
_chemical_formula_sum 'Ba3 Cu12 As9 O36'
_space_group_name_H-M_alt 'R 3 2'
_space_group_IT_number 155
_space_group_name_Hall 'R 3 2"'
_cell_length_a 10.7618
_cell_length_b 10.7618
_cell_length_c 7.4543
_cell_angle_alpha 90.00
_cell_angle_beta 90.00
_cell_angle_gamma 120.00
loop_
_atom_site_label
_atom_site_fract_x
_atom_site_fract_y
_atom_site_fract_z
Ba1 0.0000 0.0000 0.0000
Cu1 0.0000 0.0000 0.5000
Cu2 0.0000 0.3637 0.5000
As1 0.0000 0.5817 0.0000
O1 0.0000 0.5942 0.5000
O2 0.0000 0.8186 0.5000
O3 0.0765 0.2219 0.2202
```

Values from the calculation:
Formation energy from raw total energies (kcal/mol of atoms): -24.2
Volume (Å³/cell): 747.67

***

Record 3
The following is a PBE calculation of a geometry-optimized Ba2CuAsO6 structure, from Alexandria via LeMat-Bulk.

Cell and atoms, written as CIF:
```
data_Ba2CuAsO6
_chemical_formula_sum 'Ba12 Cu6 As6 O36'
_space_group_name_H-M_alt 'R -3 m'
_space_group_IT_number 166
_space_group_name_Hall '-R 3 2"'
_cell_length_a 5.7680
_cell_length_b 5.7680
_cell_length_c 28.8086
_cell_angle_alpha 90.00
_cell_angle_beta 90.00
_cell_angle_gamma 120.00
loop_
_atom_site_label
_atom_site_fract_x
_atom_site_fract_y
_atom_site_fract_z
Ba1 0.0000 0.0000 0.1239
Ba2 0.0000 0.0000 0.2917
Cu1 0.0000 0.0000 0.0000
Cu2 0.0000 0.0000 0.5000
As1 0.0000 0.0000 0.4096
O1 0.0189 0.5094 0.2901
O2 0.0428 0.5214 0.1213
```

Values from the calculation:
Formation energy from raw total energies (kcal/mol of atoms): -39.6
Volume (Å³/cell): 830.05

***

Please write out number 2 again, unchanged.
The following is a PBE calculation of a geometry-optimized BaCu4As3O12 structure, from Alexandria via LeMat-Bulk.

Cell and atoms, written as CIF:
```
data_BaCu4As3O12
_chemical_formula_sum 'Ba3 Cu12 As9 O36'
_space_group_name_H-M_alt 'R 3 2'
_space_group_IT_number 155
_space_group_name_Hall 'R 3 2"'
_cell_length_a 10.7618
_cell_length_b 10.7618
_cell_length_c 7.4543
_cell_angle_alpha 90.00
_cell_angle_beta 90.00
_cell_angle_gamma 120.00
loop_
_atom_site_label
_atom_site_fract_x
_atom_site_fract_y
_atom_site_fract_z
Ba1 0.0000 0.0000 0.0000
Cu1 0.0000 0.0000 0.5000
Cu2 0.0000 0.3637 0.5000
As1 0.0000 0.5817 0.0000
O1 0.0000 0.5942 0.5000
O2 0.0000 0.8186 0.5000
O3 0.0765 0.2219 0.2202
```

Values from the calculation:
Formation energy from raw total energies (kcal/mol of atoms): -24.2
Volume (Å³/cell): 747.67

***

> Which value of volume does entry 1 give?

346.25 Å³/cell